1.
Compound: RbTlPd4
Source: Alexandria
Functional: PBE
Structure: relaxed

Values from the calculation:
uncorrected energy = -23.918 eV per formula unit
ΔH_f (0 K) = 0.2 eV/f.u.

The structure in CIF format:
```
data_RbTlPd4
_chemical_formula_sum 'Rb4 Tl4 Pd16'
_cell_length_a 7.884
_cell_length_b 7.884
_cell_length_c 7.884
_cell_angle_alpha 90.00
_cell_angle_beta 90.00
_cell_angle_gamma 90.00
_space_group_name_H-M_alt 'F -4 3 m'
_space_group_IT_number 216
_space_group_name_Hall 'F -4 2 3'
loop_
_atom_site_label
_atom_site_fract_x
_atom_site_fract_y
_atom_site_fract_z
Rb1 0.000 0.000 0.000
Tl1 0.250 0.250 0.250
Pd1 0.124 0.124 0.624
```



2.
Compound: RbTl8Pd2
Source: Alexandria
Functional: PBE
Structure: relaxed

Values from the calculation:
uncorrected energy = -30.822 eV per formula unit
ΔH_f (0 K) = -0.5 eV/f.u.
relative energy among the computed polymorphs = 0 meV per atom

The structure in CIF format:
```
data_RbTl8Pd2
_chemical_formula_sum 'Rb2 Tl16 Pd4'
_cell_length_a 9.469
_cell_length_b 12.728
_cell_length_c 5.530
_cell_angle_alpha 90.00
_cell_angle_beta 102.42
_cell_angle_gamma 90.00
_space_group_name_H-M_alt 'C 1 2/m 1'
_space_group_IT_number 12
loop_
_space_group_symop_operation_xyz
'x,y,z'
'-x,-y,-z'
'-x,y,-z'
'x,-y,z'
'x+1/2,y+1/2,z'
'-x+1/2,-y+1/2,-z'
'-x+1/2,y+1/2,-z'
'x+1/2,-y+1/2,z'
loop_
_atom_site_label
_atom_site_fract_x
_atom_site_fract_y
_atom_site_fract_z
Rb1 0.000 0.000 0.000
Tl1 0.000 0.277 0.000
Tl2 0.102 0.500 0.784
Tl3 0.216 0.130 0.602
Pd1 0.000 0.297 0.500
```



3.
Compound: Rb2TlPd
Source: Alexandria
Functional: PBE
Structure: relaxed

Values from the calculation:
uncorrected energy = -9.553 eV per formula unit
ΔH_f (0 K) = -0.1 eV/f.u.
relative energy among the computed polymorphs = 85 meV per atom

The structure in CIF format:
```
data_Rb2TlPd
_chemical_formula_sum 'Rb8 Tl4 Pd4'
_cell_length_a 12.545
_cell_length_b 12.545
_cell_length_c 5.315
_cell_angle_alpha 90.00
_cell_angle_beta 90.00
_cell_angle_gamma 90.00
_space_group_name_H-M_alt 'I -4 2 d'
_space_group_IT_number 122
_space_group_name_Hall 'I -4 2bw'
loop_
_atom_site_label
_atom_site_fract_x
_atom_site_fract_y
_atom_site_fract_z
Rb1 0.081 0.250 0.125
Tl1 0.000 0.000 0.500
Pd1 0.000 0.000 0.000
```



4.
Compound: Rb6TlPd
Source: Alexandria
Functional: PBE
Structure: relaxed

Values from the calculation:
uncorrected energy = -13.574 eV per formula unit
ΔH_f (0 K) = -0.2 eV/f.u.

The structure in CIF format:
```
data_Rb6TlPd
_chemical_formula_sum 'Rb12 Tl2 Pd2'
_cell_length_a 4.758
_cell_length_b 14.223
_cell_length_c 15.492
_cell_angle_alpha 90.00
_cell_angle_beta 90.00
_cell_angle_gamma 90.00
_space_group_name_H-M_alt 'A m m 2'
_space_group_IT_number 38
loop_
_space_group_symop_operation_xyz
'x,y,z'
'-x,-y,z'
'-x,y,z'
'x,-y,z'
'x,y+1/2,z+1/2'
'-x,-y+1/2,z+1/2'
'-x,y+1/2,z+1/2'
'x,-y+1/2,z+1/2'
loop_
_atom_site_label
_atom_site_fract_x
_atom_site_fract_y
_atom_site_fract_z
Rb1 0.000 0.000 0.000
Rb2 0.000 0.146 0.707
Rb3 0.500 0.000 0.275
Rb4 0.500 0.210 0.468
Tl1 0.000 0.000 0.492
Pd1 0.500 0.000 0.582
```



5.
Compound: Rb3Tl4Pd2
Source: Alexandria
Functional: PBE
Structure: relaxed

Values from the calculation:
uncorrected energy = -23.881 eV per formula unit
ΔH_f (0 K) = -1.1 eV/f.u.
relative energy among the computed polymorphs = 0 meV per atom

The structure in CIF format:
```
data_Rb3Tl4Pd2
_chemical_formula_sum 'Rb12 Tl16 Pd8'
_cell_length_a 16.701
_cell_length_b 10.967
_cell_length_c 7.780
_cell_angle_alpha 90.00
_cell_angle_beta 108.17
_cell_angle_gamma 90.00
_space_group_name_H-M_alt 'C 1 2/c 1'
_space_group_IT_number 15
loop_
_space_group_symop_operation_xyz
'x,y,z'
'-x,-y,-z'
'-x,y,-z+1/2'
'x,-y,z+1/2'
'x+1/2,y+1/2,z'
'-x+1/2,-y+1/2,-z'
'-x+1/2,y+1/2,-z+1/2'
'x+1/2,-y+1/2,z+1/2'
loop_
_atom_site_label
_atom_site_fract_x
_atom_site_fract_y
_atom_site_fract_z
Rb1 0.000 0.045 0.250
Rb2 0.118 0.389 0.134
Tl1 0.145 0.234 0.663
Tl2 0.198 0.079 0.058
Pd1 0.222 0.140 0.413
```



6.
Compound: Rb5Tl4Pd
Source: Alexandria
Functional: PBE
Structure: relaxed

Values from the calculation:
uncorrected energy = -20.072 eV per formula unit
ΔH_f (0 K) = -0.6 eV/f.u.

The structure in CIF format:
```
data_Rb5Tl4Pd
_chemical_formula_sum 'Rb10 Tl8 Pd2'
_cell_length_a 23.456
_cell_length_b 4.794
_cell_length_c 9.520
_cell_angle_alpha 90.00
_cell_angle_beta 113.33
_cell_angle_gamma 90.00
_space_group_name_H-M_alt 'C 1 2/m 1'
_space_group_IT_number 12
loop_
_space_group_symop_operation_xyz
'x,y,z'
'-x,-y,-z'
'-x,y,-z'
'x,-y,z'
'x+1/2,y+1/2,z'
'-x+1/2,-y+1/2,-z'
'-x+1/2,y+1/2,-z'
'x+1/2,-y+1/2,z'
loop_
_atom_site_label
_atom_site_fract_x
_atom_site_fract_y
_atom_site_fract_z
Rb1 0.000 0.000 0.000
Rb2 0.142 0.500 0.792
Rb3 0.197 0.500 0.294
Tl1 0.026 0.500 0.359
Tl2 0.119 0.000 0.465
Pd1 0.000 0.000 0.500
```